1.
BeTl2In | meta-GGA SCAN | single point on PBEsol structure

## Properties
Energy of formation ... 274 meV/atom
Excess energy over the best structure of this formula in the dataset ... 0.000 eV per atom
Crystal system ... monoclinic
Total magnetic moment ... 0.00 μB per atom
Final energy ... -45.34 eV/atom

a b c (Å): 4.6077 4.6077 7.1842
angles (deg): 107.28 107.28 41.82
Positions (direct):
Be1 0.0000 0.0000 0.0000
Tl1 0.4713 0.4713 0.6600
Tl2 0.6519 0.6519 0.3348
In1 0.2806 0.2806 0.9969

2.
BeIn2W | meta-GGA SCAN | single point on PBEsol structure

## Properties
Energy of formation ... 653 meV/atom
Crystal system ... orthorhombic
Total magnetic moment ... 0.00 μB per atom
Final energy ... -34.55 eV/atom

a b c (Å): 5.0150 5.0150 2.9225
angles (deg): 90.00 90.00 112.25
Positions (direct):
Be1 0.0000 0.0000 0.0000
In1 0.0000 0.5000 0.5000
In2 0.5000 0.0000 0.5000
W1 0.5000 0.5000 0.0000

3.
BeIn2W | meta-GGA SCAN | single point on PBEsol structure

## Properties
Energy of formation ... 739 meV/atom
Crystal system ... orthorhombic
Total magnetic moment ... 0.00 μB per atom
Final energy ... -34.46 eV/atom

a b c (Å): 2.9027 2.9027 8.6903
angles (deg): 90.00 90.00 109.33
Positions (direct):
Be1 0.0000 0.0000 0.0000
In1 0.5000 0.5000 0.2334
In2 0.5000 0.5000 0.7666
W1 0.0000 0.0000 0.5000

4.
BeInW | meta-GGA SCAN | single point on PBEsol structure

## Properties
Energy of formation ... 898 meV/atom
Excess energy over the best structure of this formula in the dataset ... 0.296 eV per atom
Crystal system ... cubic
Total magnetic moment ... 0.41 μB per atom
Final energy ... -34.91 eV/atom

a b c (Å): 4.0607 4.0607 4.0607
angles (deg): 60.00 60.00 60.00
Positions (direct):
Be1 0.0000 0.0000 0.0000
In1 0.2500 0.2500 0.2500
W1 0.7500 0.7500 0.7500

5.
BeIn2W | meta-GGA SCAN | single point on PBEsol structure

## Properties
Energy of formation ... 576 meV/atom
Crystal system ... orthorhombic
Total magnetic moment ... 0.00 μB per atom
Final energy ... -34.63 eV/atom

a b c (Å): 2.8677 4.7634 5.0102
angles (deg): 90.00 90.00 90.00
Positions (direct):
Be1 0.0000 0.0000 0.0000
In1 0.5000 0.0000 0.4508
In2 0.5000 0.5000 0.7951
W1 0.0000 0.5000 0.2725

6.
BeInW | meta-GGA SCAN | single point on PBEsol structure

## Properties
Energy of formation ... 602 meV/atom
Excess energy over the best structure of this formula in the dataset ... 0.000 eV per atom
Crystal system ... tetragonal
Total magnetic moment ... 0.00 μB per atom
Final energy ... -35.21 eV/atom

a b c (Å): 6.4436 6.4436 6.4436
angles (deg): 155.27 155.27 35.26
Positions (direct):
Be1 0.0000 0.0000 0.0000
In1 0.6766 0.6766 0.0000
W1 0.3658 0.3658 0.0000

7.
BeIn2W | meta-GGA SCAN | single point on PBEsol structure

## Properties
Energy of formation ... 711 meV/atom
Crystal system ... monoclinic
Total magnetic moment ... 0.00 μB per atom
Final energy ... -34.49 eV/atom

a b c (Å): 5.1021 5.1021 5.0158
angles (deg): 95.25 95.25 32.17
Positions (direct):
Be1 0.0000 0.0000 0.0000
In1 0.2399 0.2399 0.7497
In2 0.7601 0.7601 0.2503
W1 0.5000 0.5000 0.5000

8.
Be2ZnIn | meta-GGA SCAN | single point on PBEsol structure

## Properties
Energy of formation ... 417 meV/atom
Excess energy over the best structure of this formula in the dataset ... 0.064 eV per atom
Crystal system ... tetragonal
Total magnetic moment ... 0.00 μB per atom
Final energy ... -13.49 eV/atom

a b c (Å): 4.6951 4.6951 4.6951
angles (deg): 132.37 132.37 69.64
Positions (direct):
Be1 0.0000 0.0000 0.0000
Be2 0.7500 0.2500 0.5000
Zn1 0.2500 0.7500 0.5000
In1 0.5000 0.5000 0.0000

> Number 8 is which compound?

Be2ZnIn